(1)
PBE RbLiTc2, relaxed; space-group type = I-42d; energy of formation = 1.3799 eV per atom; DOS(E_F) = 7.99 states/eV per cell
1.0
4.348 0.000 0.000
0.000 4.348 0.000
2.174 2.174 10.567
Tc Rb Li
4 2 2
Cartesian
2.520 1.087 2.642
1.828 3.261 2.642
3.261 4.002 7.925
5.435 4.694 7.925
0.000 0.000 0.000
4.348 2.174 5.283
2.174 2.174 0.000
2.174 4.348 5.283

(2)
PBE Cr2CoNi, relaxed; space-group type = P4/mmm; energy of formation = 0.0409 eV per atom; E above lowest polymorph = 0.049 eV/f.u.; DOS(E_F) = 4.98 states/eV per cell
1.0
-2.180 -1.063 0.352
0.492 -1.596 -1.793
3.009 -4.555 4.881
Ni Co Cr
1 1 2
Cartesian
-0.092 -2.468 0.499
1.413 -4.746 2.940
2.990 -4.526 4.850
1.523 -2.306 2.471

(3)
PBE PaZnPb2O8, relaxed; space-group type = I-4m2; formation energy without anion corrections = -1.36 eV per atom; DOS(E_F) = 8.83 states/eV per cell
1.0
-3.770 3.795 3.117
-0.609 -5.533 2.711
5.864 1.979 0.177
Pa Zn Pb O
1 1 2 8
Cartesian
1.533 -2.211 2.901
0.000 0.000 0.000
-0.048 2.453 3.104
-2.190 -0.869 2.914
0.474 1.671 1.193
-0.263 -1.236 2.334
3.491 2.170 1.352
1.312 3.981 2.511
-2.641 -0.056 4.735
-2.040 2.790 3.779
0.062 1.368 4.935
2.382 -0.395 3.590

Number 1: electronic total energy -4.52 eV per atom. Number 2: electronic total energy -7.99 eV per atom. Number 3: electronic total energy -6.18 eV per atom.